(1)
Here is a relaxed structure of Nb3FeBi6O18 from Alexandria. Energies are from PBE with a Hubbard U.

Cell: 5.5148 5.5975 13.2254 Å, 90.06 101.58 90.02°
With the nearest neighbours (Å) after each atom.
Atoms (fractional coordinates):
Nb  0.0000  0.0000  0.0000  4 O 1.88-2.10
Nb  0.1669  0.0100  0.3457  4 O 1.86-2.04
Nb  0.5022  0.4984  0.9994  3 O 1.86-1.95
Fe  0.6650  0.5054  0.3402  4 O 1.91-2.13
Bi  0.0843  0.4530  0.1843  5 O 2.30-2.48
Bi  0.3338  0.4195  0.5676  4 O 2.22-2.40
Bi  0.3654  0.9276  0.7617  4 O 2.23-2.44
Bi  0.5894  0.9516  0.1831  5 O 2.29-2.46
Bi  0.7687  0.8904  0.5628  4 O 2.21-2.48
Bi  0.9195  0.4101  0.7652  3 O 2.18-2.35
O  0.0147  0.0268  0.8599  1 Nb 1.88
O  0.0821  0.6933  0.6659  3 Bi 2.23-2.35
O  0.1088  0.1934  0.6684  3 Bi 2.18-2.36
O  0.2446  0.7494  0.0439  2 Nb 1.95-2.16
O  0.3073  0.2463  0.0457  2 Nb 1.95-2.17
O  0.3108  0.0018  0.4852  1 Nb 1.86
O  0.3513  0.5104  0.8603  1 Nb 1.86
O  0.3547  0.7466  0.2941  1 Nb 2.00, 1 Fe 2.17
O  0.4263  0.2358  0.2953  1 Fe 2.01, 1 Nb 2.11
O  0.5817  0.6914  0.6699  3 Bi 2.21-2.30
O  0.6031  0.1881  0.6702  4 Bi 2.22-2.48
O  0.6659  0.5269  0.4842  1 Fe 1.91
O  0.6675  0.5514  0.1706  1 Fe 2.26, 1 Nb 2.28, 2 Bi 2.29-2.34
O  0.7045  0.8155  0.9933  2 Nb 1.92-2.11
O  0.7971  0.3186  0.9947  2 Nb 1.92-2.10
O  0.8589  0.8339  0.3392  1 Nb 1.95, 1 Fe 2.13
O  0.9823  0.3277  0.3384  1 Fe 2.02, 1 Nb 2.04
O  0.9966  0.0511  0.1666  2 Nb 2.23-2.38, 2 Bi 2.30-2.37

Values from the calculation:
N(E_F)	0.000	states/eV per cell
DFT total energy	-7.092	eV per atom
magnetic moment	5.0	μB/f.u.

(2)
Here is a relaxed structure of NbFeBi2O6 from Alexandria. Energies are from PBE with a Hubbard U.

Cell: 5.6835 5.9849 9.6327 Å, 90.00 124.34 90.00°
With the nearest neighbours (Å) after each atom.
Atoms (fractional coordinates):
Nb  0.0000  0.0000  0.0000  6 O 2.02-2.12
Nb  0.0000  0.5000  0.5000  6 O 2.02-2.12
Fe  0.5000  0.0000  0.5000  6 O 2.08-2.31
Fe  0.5000  0.5000  0.0000  6 O 2.08-2.31
Bi  0.2629  0.0668  0.7688  6 O 2.33-2.60
Bi  0.2629  0.4332  0.2688  6 O 2.33-2.60
Bi  0.7371  0.5668  0.7312  6 O 2.33-2.60
Bi  0.7371  0.9332  0.2312  6 O 2.33-2.60
O  0.1184  0.2213  0.4365  1 Nb 2.02
O  0.1184  0.2787  0.9365  1 Nb 2.02
O  0.3020  0.6698  0.4757  1 Nb 2.12, 1 Fe 2.22, 1 Bi 2.35
O  0.3020  0.8302  0.9757  1 Nb 2.12, 1 Fe 2.22, 1 Bi 2.35
O  0.3606  0.0360  0.2498  1 Fe 2.08, 1 Nb 2.11, 1 Bi 2.33
O  0.3606  0.4640  0.7498  1 Fe 2.08, 1 Nb 2.11, 1 Bi 2.33
O  0.6394  0.5360  0.2502  1 Fe 2.08, 1 Nb 2.11, 1 Bi 2.33
O  0.6394  0.9640  0.7502  1 Fe 2.08, 1 Nb 2.11, 1 Bi 2.33
O  0.6980  0.1698  0.0243  1 Nb 2.12, 1 Fe 2.22, 1 Bi 2.35
O  0.6980  0.3302  0.5243  1 Nb 2.12, 1 Fe 2.22, 1 Bi 2.35
O  0.8816  0.7213  0.0635  1 Nb 2.02
O  0.8816  0.7787  0.5635  1 Nb 2.02

Values from the calculation:
N(E_F)	4.261	states/eV per cell
DFT total energy	-6.900	eV per atom
magnetic moment	4.7	μB/f.u.